This record from the Alexandria database describes a geometry-optimized TaHgCl2 structure. The functional is GGA-PBE.

- Space group: C2/m
- Polymorph energy (0 for the lowest one): 850.7 meV per atom
- Uncorrected formation energy: 0.273 eV per atom

The structure in extended XYZ format:
```
4
Lattice="5.6252 -0.0063 -0.0193 -2.9817 4.9350 0.0074 -0.3382 0.9400 2.8939" Properties=species:S:1:pos:R:3 pbc="T T T"
Cl 2.6435 0.4668 1.4373
Cl 0.0000 0.0000 0.0000
Hg -1.6600 2.9375 1.4506
Ta 1.3217 2.4644 -0.0060
```


This record from the Alexandria database describes a geometry-optimized BaAlSe4 structure. The functional is GGA-PBE.

- Space group: F-43m
- Uncorrected formation energy: -0.205 eV per atom

The structure in extended XYZ format:
```
6
Lattice="0.0000 4.2674 4.2674 4.2674 0.0000 4.2674 4.2674 4.2674 0.0000" Properties=species:S:1:pos:R:3 pbc="T T T"
Se 3.2111 5.3238 5.3238
Se 5.3238 5.3238 3.2111
Se 3.2111 3.2111 3.2111
Se 5.3238 3.2111 5.3238
Ba 0.0000 0.0000 0.0000
Al 6.4011 6.4011 6.4011
```


This record from the Alexandria database describes a geometry-optimized CaAc4Sm5 structure. The functional is GGA-PBE.

- Space group: C2/m
- ΔE_f: 0.05 eV per atom

The structure in extended XYZ format:
```
10
Lattice="5.3244 0.0000 1.2162 1.8086 10.1875 4.3449 0.7511 4.3784 8.9747" Properties=species:S:1:pos:R:3 pbc="T T T"
Ac 5.9520 9.6190 10.7316
Ac 4.0053 4.6615 6.9910
Ac 1.9321 4.9470 3.8043
Ac 3.8788 9.9045 7.5449
Sm 3.3517 7.0780 9.8524
Sm 4.6633 2.3721 4.1103
Sm 3.2208 12.1938 10.4256
Sm 1.2799 7.2830 6.6598
Sm 4.5324 7.4879 4.6834
Ca 0.0000 0.0000 0.0000
```


This record from the Alexandria database describes a geometry-optimized Pa2TiH8 structure. The functional is GGA-PBE.

- Space group: Immm
- VASP energy: -5.199 eV/atom

The structure in extended XYZ format:
```
11
Lattice="-0.5779 -3.2034 1.9120 2.5614 -2.2271 -2.9572 3.5703 3.7745 3.6762" Properties=species:S:1:pos:R:3 pbc="T T T"
H 2.9555 -3.0140 -0.4296
H 5.5652 2.0399 1.3730
H 3.5827 -2.1137 1.2684
H 1.5855 -1.8227 1.1522
H -0.0114 -3.6959 1.2579
H 3.9683 0.1667 1.4787
H 2.5983 1.3579 3.0605
H 1.9711 0.4577 1.3625
Pa 2.8184 -0.7565 -0.4156
Pa 2.7354 -0.8995 3.0466
Ti -0.2889 -1.6017 0.9560
```


This record from the Alexandria database describes a geometry-optimized HfAgPO5 structure. The functional is GGA-PBE.

- Space group: C2/c
- Uncorrected formation energy: -2.348 eV per atom

The structure in extended XYZ format:
```
16
Lattice="-0.7953 4.8069 -2.9199 -5.2473 -2.1694 -0.1564 1.4491 1.9767 7.3244" Properties=species:S:1:pos:R:3 pbc="T T T"
O -3.1406 3.0853 4.5233
O -1.4529 1.5289 -0.2752
O -3.7251 0.7915 3.5826
O -1.9977 3.6453 -1.6016
O -0.8684 3.8227 0.6655
O -0.0190 5.8028 2.7661
O -4.5745 -1.1886 1.4820
O -1.3083 1.6085 3.7470
O -2.5958 0.9689 5.8497
O -3.2852 3.0057 0.5011
Ag -3.4504 0.5729 0.7842
Ag -1.1431 4.0413 3.4639
P -2.7053 1.5933 4.4337
P -1.8882 3.0209 -0.1856
Hf 0.0000 0.0000 0.0000
Hf 0.7245 0.9883 3.6622
```


This record from the Alexandria database describes a geometry-optimized Th3Ag5Se12 structure. The functional is GGA-PBE.

- Space group: Ia-3d
- Uncorrected formation energy: -0.685 eV per atom

The structure in extended XYZ format:
```
80
Lattice="14.0897 0.0000 0.0000 -4.6966 13.2838 0.0000 -4.6966 -6.6419 11.5042" Properties=species:S:1:pos:R:3 pbc="T T T"
Se 0.6221 8.2077 7.7121
Se -3.7162 11.2754 1.5213
Se 8.7710 0.7460 5.2121
Se -1.7262 -0.7460 5.2121
Se -4.0744 5.8959 6.2921
Se -0.4861 4.9453 0.9813
Se 4.0744 -1.5658 3.7921
Se 1.7262 5.0761 7.7121
Se -0.4861 8.3401 0.9787
Se 7.6669 -0.8198 2.5000
Se 9.2652 1.4449 0.5400
Se 9.5210 -3.0662 7.2734
Se 7.1728 3.5757 4.2308
Se 5.1827 1.6967 10.5229
Se 6.5587 6.6404 1.9600
Se -1.8621 0.0015 9.5442
Se 2.8344 8.3386 0.9813
Se -4.5686 5.1971 10.9641
Se 4.5686 2.1309 6.7334
Se -4.8245 9.7081 4.2308
Se -2.4762 3.0662 7.2734
Se 1.8621 1.6981 10.5254
Se 10.3734 3.0077 3.2521
Se -5.1827 -0.0015 9.5442
Se -5.6769 3.6342 8.2521
Se 2.8344 4.9438 0.9787
Se -1.3680 4.6335 9.9829
Se 7.1728 11.8390 0.5400
Se 5.6769 -0.9993 6.7308
Se 6.0645 10.2762 3.2521
Se 5.1827 -1.6981 10.5254
Se 9.8792 6.6434 1.9600
Se 0.1279 4.5111 4.7708
Se 2.9704 1.5658 3.7921
Se 8.4128 -4.6335 9.9829
Se 6.4227 7.3879 6.2921
Se 5.3187 5.8221 9.0041
Se -0.9803 7.6412 4.7734
Se 6.0645 2.0084 1.5213
Se -2.9704 7.4617 9.0041
Se 1.8621 -1.6967 10.5229
Se 2.4762 -2.1309 6.7334
Se 2.2203 8.7728 4.7708
Se -0.6221 0.8198 2.5000
Se -1.3680 -3.6342 8.2521
Se -2.4762 -5.1971 10.9641
Se 1.3680 0.9993 6.7308
Se 3.3286 5.6427 4.7734
Th -5.8707 6.6419 8.6281
Th -3.5224 -2.4907 10.0661
Th 8.2190 9.1326 1.4380
Th 10.5672 0.0000 2.8760
Th 3.5224 7.4722 7.1901
Th -1.1741 5.8117 7.1901
Th 3.5224 0.0000 8.6281
Th 1.1741 6.6419 2.8760
Th -3.5224 2.4907 10.0661
Th 5.8707 0.8302 4.3141
Th 8.2190 4.1512 1.4380
Th 1.1741 -0.8302 4.3141
Ag 1.1741 -3.3210 8.6281
Ag 7.0448 0.0000 0.0000
Ag 5.8707 -4.1512 10.0661
Ag -2.3483 -3.3210 5.7521
Ag 8.2190 -0.8302 7.1901
Ag 3.5224 9.9629 2.8760
Ag 1.1741 4.1512 10.0661
Ag -1.1741 0.8302 7.1901
Ag -4.6966 3.3210 5.7521
Ag 5.8707 3.3210 8.6281
Ag -2.3483 6.6419 0.0000
Ag 4.6966 6.6419 0.0000
Ag 0.0000 0.0000 0.0000
Ag 2.3483 3.3210 5.7521
Ag 4.6966 -3.3210 5.7521
Ag 5.8707 5.8117 4.3141
Ag 3.5224 2.4907 1.4380
Ag -3.5224 7.4722 4.3141
Ag -1.1741 3.3210 2.8760
Ag -1.1741 10.7931 1.4380
```


Number 1: M_tot 0.0 μB per formula unit, DOS at the Fermi energy 0.5879 states/eV per atom. Number 2: M_tot 0.0 μB per formula unit, DOS at the Fermi energy 0.7649 states/eV per atom. Number 3: M_tot 0.0 μB per formula unit, DOS at the Fermi energy 1.5472 states/eV per atom. Number 4: M_tot 1.9 μB per formula unit, DOS at the Fermi energy 0.8010 states/eV per atom. Number 5: M_tot 0.0 μB per formula unit, DOS at the Fermi energy 0.0000 states/eV per atom. Number 6: M_tot 0.0 μB per formula unit, DOS at the Fermi energy 0.7057 states/eV per atom.